[1]
The following is a PBE-GGA calculation of a relaxed CuTc2Se crystal, from the Alexandria database.

Cell lengths 3.0495, 3.0495, 6.0708 Å; angles 90.00, 90.00, 90.00 degrees
Sites, in units of the cell vectors:
Cu 0.0000 0.0000 0.0000
Tc 0.5000 0.5000 0.2480
Tc 0.5000 0.5000 0.7520
Se 0.0000 0.0000 0.5000

Crystal system: tetragonal
Formation energy from raw total energies (eV per atom): 0.3225
ρ (g/cm3): 10.0
Spin magnetization (μB/f.u.): 0.0



[2]
The following is a PBE-GGA calculation of a relaxed Ta3VIr4 crystal, from the Alexandria database.

Cell lengths 4.7883, 2.8624, 9.3669 Å; angles 90.00, 102.78, 90.00 degrees
Sites, in units of the cell vectors:
Ta 0.0000 0.0000 0.0000
Ta 0.2703 0.0000 0.7406
Ta 0.7297 0.0000 0.2594
V 0.5000 0.0000 0.5000
Ir 0.0000 0.5000 0.5000
Ir 0.2392 0.5000 0.2540
Ir 0.5000 0.5000 0.0000
Ir 0.7608 0.5000 0.7460

Crystal system: monoclinic
E_form (meV per atom): -560
ρ (g/cm3): 18.1
Spin magnetization (μB/f.u.): 0.0



[3]
The following is a PBE-GGA calculation of a relaxed LaMg4Sn2 crystal, from the Alexandria database.

Cell lengths 8.7852, 8.7852, 4.6359 Å; angles 90.00, 90.00, 90.00 degrees
Sites, in units of the cell vectors:
La 0.0000 0.0000 0.0000
La 0.5000 0.5000 0.5000
Mg 0.0949 0.3496 0.5000
Mg 0.1504 0.5949 0.0000
Mg 0.3496 0.0949 0.5000
Mg 0.4051 0.8496 0.0000
Mg 0.5949 0.1504 0.0000
Mg 0.6504 0.9051 0.5000
Mg 0.8496 0.4051 0.0000
Mg 0.9051 0.6504 0.5000
Sn 0.2038 0.7962 0.5000
Sn 0.2962 0.2962 0.0000
Sn 0.7038 0.7038 0.0000
Sn 0.7962 0.2038 0.5000

Crystal system: tetragonal
E_form (meV per atom): -363
ρ (g/cm3): 4.4
Spin magnetization (μB/f.u.): 0.0



[4]
The following is a PBE-GGA calculation of a relaxed NaSn3Se6 crystal, from the Alexandria database.

Cell lengths 7.6332, 7.6332, 7.6332 Å; angles 55.00, 55.00, 55.00 degrees
Sites, in units of the cell vectors:
Na 0.0000 0.0000 0.0000
Sn 0.2808 0.2808 0.2808
Sn 0.4783 0.4783 0.4783
Sn 0.7932 0.7932 0.7932
Se 0.0764 0.4211 0.6714
Se 0.2020 0.8685 0.5917
Se 0.4211 0.6714 0.0764
Se 0.5917 0.2020 0.8685
Se 0.6714 0.0764 0.4211
Se 0.8685 0.5917 0.2020

Crystal system: trigonal
Polymorph energy (0 for the lowest one) (eV/atom): 0.0462
Formation energy from raw total energies (eV per atom): -0.4020
ρ (g/cm3): 5.1
Spin magnetization (μB/f.u.): 0.0



[5]
The following is a PBE-GGA calculation of a relaxed Cd3Te2Se crystal, from the Alexandria database.

Cell lengths 7.9302, 7.9302, 7.9223 Å; angles 99.57, 99.57, 120.03 degrees
Sites, in units of the cell vectors:
Cd 0.0757 0.9243 0.5000
Cd 0.2380 0.7549 0.9837
Cd 0.3928 0.5607 0.4828
Cd 0.5607 0.3928 0.9828
Cd 0.7549 0.2380 0.4837
Cd 0.9243 0.0757 0.0000
Te 0.3629 0.8690 0.3648
Te 0.5328 0.7008 0.8645
Te 0.7008 0.5328 0.3645
Te 0.8690 0.3629 0.8648
Se 0.0351 0.1968 0.3633
Se 0.1968 0.0351 0.8633

Crystal system: monoclinic
Formation energy from raw total energies (eV per atom): -0.5106
ρ (g/cm3): 5.5
Spin magnetization (μB/f.u.): 0.0



[6]
The following is a PBE-GGA calculation of a relaxed KCdAg2 crystal, from the Alexandria database.

Cell lengths 5.2026, 5.2026, 5.2026 Å; angles 60.00, 60.00, 60.00 degrees
Sites, in units of the cell vectors:
K 0.0000 0.0000 0.0000
Cd 0.7500 0.7500 0.7500
Ag 0.2500 0.2500 0.2500
Ag 0.5000 0.5000 0.5000

Crystal system: cubic
E_form (meV per atom): 166
Polymorph energy (0 for the lowest one) (eV/atom): 0.2025
ρ (g/cm3): 6.1
Spin magnetization (μB/f.u.): 0.0



[7]
The following is a PBE-GGA calculation of a relaxed B crystal, from the Alexandria database.

Cell lengths 2.8654, 2.8654, 2.8654 Å; angles 60.00, 60.00, 60.00 degrees
Sites, in units of the cell vectors:
B 0.1250 0.1250 0.1250
B 0.8750 0.8750 0.8750

Crystal system: cubic
E_form (meV per atom): 944
Polymorph energy (0 for the lowest one) (eV/atom): 0.9436
ρ (g/cm3): 2.2
Spin magnetization (μB/f.u.): 0.0



[8]
The following is a PBE-GGA calculation of a relaxed KBa2O crystal, from the Alexandria database.

Cell lengths 7.6328, 7.6328, 7.5538 Å; angles 119.60, 119.60, 29.56 degrees
Sites, in units of the cell vectors:
K 0.0000 0.0000 0.0000
Ba 0.3602 0.3602 0.3602
Ba 0.6398 0.6398 0.6398
O 0.0000 0.0000 0.5000

Crystal system: monoclinic
Formation energy from raw total energies (eV per atom): -1.0735
ρ (g/cm3): 2.9
Spin magnetization (μB/f.u.): 0.0



[9]
The following is a PBE-GGA calculation of a relaxed NaErPb2 crystal, from the Alexandria database.

Cell lengths 3.8487, 3.8487, 7.7917 Å; angles 90.00, 90.00, 90.00 degrees
Sites, in units of the cell vectors:
Na 0.0000 0.0000 0.0000
Er 0.0000 0.0000 0.5000
Pb 0.5000 0.5000 0.2582
Pb 0.5000 0.5000 0.7418

Crystal system: tetragonal
E_form (meV per atom): -266
ρ (g/cm3): 8.7
Spin magnetization (μB/f.u.): 0.0



[10]
The following is a PBE-GGA calculation of a relaxed EuSiH crystal, from the Alexandria database.

Cell lengths 11.3682, 6.3862, 6.0953 Å; angles 90.00, 90.00, 90.00 degrees
Sites, in units of the cell vectors:
Eu 0.1437 0.2344 0.1457
Eu 0.1437 0.7656 0.6457
Eu 0.3563 0.2656 0.6457
Eu 0.3563 0.7344 0.1457
Eu 0.6437 0.2656 0.8543
Eu 0.6437 0.7344 0.3543
Eu 0.8563 0.2344 0.3543
Eu 0.8563 0.7656 0.8543
Si 0.0886 0.2372 0.6478
Si 0.0886 0.7628 0.1478
Si 0.4114 0.2628 0.1478
Si 0.4114 0.7372 0.6478
Si 0.5886 0.2628 0.3522
Si 0.5886 0.7372 0.8522
Si 0.9114 0.2372 0.8522
Si 0.9114 0.7628 0.3522
H 0.1640 0.4200 0.5170
H 0.1640 0.5800 0.0170
H 0.3360 0.0800 0.0170
H 0.3360 0.9200 0.5170
H 0.6640 0.0800 0.4830
H 0.6640 0.9200 0.9830
H 0.8360 0.4200 0.9830
H 0.8360 0.5800 0.4830

Crystal system: orthorhombic
Final energy (eV per atom): -6.62
ρ (g/cm3): 5.4
Spin magnetization (μB/f.u.): 7.0



[11]
The following is a PBE-GGA calculation of a relaxed Na2Ge2F7 crystal, from the Alexandria database.

Cell lengths 5.7620, 5.7620, 5.9384 Å; angles 90.65, 90.65, 96.72 degrees
Sites, in units of the cell vectors:
Na 0.2065 0.7935 0.0000
Na 0.7935 0.2065 0.0000
Ge 0.2408 0.2408 0.3917
Ge 0.7592 0.7592 0.6083
F 0.0056 0.0056 0.2561
F 0.1289 0.4521 0.1938
F 0.4521 0.1289 0.1938
F 0.5000 0.5000 0.5000
F 0.5479 0.8711 0.8062
F 0.8711 0.5479 0.8062
F 0.9944 0.9944 0.7439

Crystal system: monoclinic
Formation energy from raw total energies (eV per atom): -2.3464
ρ (g/cm3): 2.8
Spin magnetization (μB/f.u.): 0.8



[12]
The following is a PBE-GGA calculation of a relaxed W2NCl8 crystal, from the Alexandria database.

Cell lengths 8.7689, 8.7689, 7.5539 Å; angles 110.71, 110.71, 58.50 degrees
Sites, in units of the cell vectors:
W 0.1206 0.1206 0.1902
W 0.8794 0.8794 0.8098
N 0.0000 0.0000 0.0000
Cl 0.1226 0.1226 0.4921
Cl 0.1402 0.5985 0.7928
Cl 0.2353 0.2353 0.0726
Cl 0.4015 0.8598 0.2072
Cl 0.5985 0.1402 0.7928
Cl 0.7647 0.7647 0.9274
Cl 0.8598 0.4015 0.2072
Cl 0.8774 0.8774 0.5079

Crystal system: monoclinic
Polymorph energy (0 for the lowest one) (eV/atom): 0.0337
Formation energy from raw total energies (eV per atom): -0.7974
ρ (g/cm3): 2.4
Spin magnetization (μB/f.u.): 1.1



Which value of ρ does entry 7 give?
2.2 g/cm3